(1)
DFT (SCAN) results for a PBEsol-optimized structure of NaCS2F.

Output
Energy: -5.49 eV/atom
Raw formation energy: 1931 meV/atom

Unit cell a=5.027 b=5.027 c=4.423 alpha=90.00 beta=90.00 gamma=90.00
Space group P4/mmm (No. 123)
Inequivalent atoms, fractional coordinates:
Na  0.000  0.000  0.000 [1 per cell]
C  0.000  0.000  0.500 [1 per cell]
S  0.000  0.500  0.000 [2 per cell]
F  0.500  0.500  0.500 [1 per cell]

(2)
DFT (SCAN) results for a PBEsol-optimized structure of WAu3Cl.

Output
Energy: -55.83 eV/atom
Raw formation energy: 1199 meV/atom

Unit cell a=4.983 b=4.983 c=4.983 alpha=90.00 beta=90.00 gamma=90.00
Space group Pm-3m (No. 221)
Inequivalent atoms, fractional coordinates:
W  0.000  0.000  0.000 [1 per cell]
Au  0.000  0.000  0.500 [3 per cell]
Cl  0.500  0.500  0.500 [1 per cell]

(3)
DFT (SCAN) results for a PBEsol-optimized structure of AgPt3.

Output
Energy: -60.44 eV/atom
Calculated formation energy: 0.043 eV/atom

Unit cell a=2.7330 b=2.7330 c=9.4679 alpha=90.00 beta=90.00 gamma=120.00
Space group P-6m2 (No. 187)
Inequivalent atoms, fractional coordinates:
Ag  0.0000  0.0000  0.0000 [1 per cell]
Pt  0.0000  0.0000  0.5000 [1 per cell]
Pt  0.6667  0.3333  0.2517 [2 per cell]